[1]
## Tb2Y6Tm (PBE)

Data for a relaxed Tb2Y6Tm crystal.

Output
The value obtained for the theoretical density is 5.90 g/cm³. The energy relative to the lowest polymorph listed for this composition comes out at 0.000 eV/atom. The value obtained for the energy of formation from the pure elements is 62.7 meV per atom.

Unit cell a=11.875 b=11.875 c=5.727 alpha=103.94 beta=103.94 gamma=47.53
Atoms (fractional coordinates):
1 Tb 0.168 0.332 0.033
2 Tb 0.332 0.168 0.533
3 Tb 0.668 0.832 0.467
4 Tb 0.832 0.668 0.967
5 Y 0.000 0.164 0.796
6 Y 0.000 0.836 0.204
7 Y 0.083 0.583 0.583
8 Y 0.164 0.000 0.296
9 Y 0.336 0.499 0.131
10 Y 0.417 0.917 0.917
11 Y 0.499 0.336 0.631
12 Y 0.501 0.664 0.369
13 Y 0.583 0.083 0.083
14 Y 0.664 0.501 0.869
15 Y 0.836 0.000 0.704
16 Y 0.917 0.417 0.417
17 Tm 0.250 0.750 0.750
18 Tm 0.750 0.250 0.250

***

[2]
## TbY7Tm4 (PBE)

Data for a relaxed TbY7Tm4 crystal.

Output
The value obtained for the theoretical density is 6.33 g/cm³. The energy relative to the lowest polymorph listed for this composition comes out at 0.000 eV/atom. The value obtained for the energy of formation from the pure elements is 91.4 meV per atom.

Unit cell a=6.477 b=6.783 c=9.037 alpha=86.41 beta=76.44 gamma=82.09
Atoms (fractional coordinates):
1 Tb 0.000 0.000 0.000
2 Y 0.000 0.500 0.000
3 Y 0.191 0.106 0.387
4 Y 0.316 0.696 0.639
5 Y 0.485 0.250 0.049
6 Y 0.515 0.750 0.951
7 Y 0.684 0.304 0.361
8 Y 0.809 0.894 0.613
9 Tm 0.161 0.615 0.311
10 Tm 0.357 0.191 0.715
11 Tm 0.643 0.809 0.285
12 Tm 0.839 0.385 0.689

***

[3]
## Tb5YTm12 (PBE)

Data for a relaxed Tb5YTm12 crystal.

Output
The value obtained for the theoretical density is 8.76 g/cm³. The value obtained for the energy of formation from the pure elements is -3.0 meV per atom.

Unit cell a=6.135 b=6.135 c=17.057 alpha=93.44 beta=93.44 gamma=120.00
Atoms (fractional coordinates):
1 Tb 0.000 0.000 0.000
2 Tb 0.167 0.833 0.500
3 Tb 0.333 0.667 0.000
4 Tb 0.667 0.333 0.000
5 Tb 0.833 0.167 0.500
6 Y 0.500 0.500 0.500
7 Tm 0.056 0.724 0.168
8 Tm 0.110 0.110 0.332
9 Tm 0.222 0.556 0.668
10 Tm 0.276 0.944 0.832
11 Tm 0.389 0.389 0.168
12 Tm 0.444 0.778 0.332
13 Tm 0.556 0.222 0.668
14 Tm 0.611 0.611 0.832
15 Tm 0.724 0.056 0.168
16 Tm 0.778 0.444 0.332
17 Tm 0.890 0.890 0.668
18 Tm 0.944 0.276 0.832

***

[4]
## TbY2Tm2 (PBE)

Data for a relaxed TbY2Tm2 crystal.

Output
The value obtained for the theoretical density is 7.03 g/cm³. The energy relative to the lowest polymorph listed for this composition comes out at 0.064 eV/atom. The value obtained for the energy of formation from the pure elements is 88.6 meV per atom.

Unit cell a=9.290 b=9.290 c=3.692 alpha=90.00 beta=90.00 gamma=90.00
Atoms (fractional coordinates):
1 Tb 0.000 0.000 0.000
2 Tb 0.500 0.500 0.000
3 Y 0.173 0.327 0.500
4 Y 0.327 0.827 0.500
5 Y 0.673 0.173 0.500
6 Y 0.827 0.673 0.500
7 Tm 0.125 0.625 0.000
8 Tm 0.375 0.125 0.000
9 Tm 0.625 0.875 0.000
10 Tm 0.875 0.375 0.000

***

[5]
## Tb12YTm5 (PBE)

Data for a relaxed Tb12YTm5 crystal.

Output
The value obtained for the theoretical density is 8.35 g/cm³. The value obtained for the energy of formation from the pure elements is 20.0 meV per atom.

Unit cell a=10.614 b=5.007 c=10.630 alpha=90.00 beta=90.13 gamma=90.00
Atoms (fractional coordinates):
1 Tb 0.001 0.000 0.166
2 Tb 0.167 0.500 0.667
3 Tb 0.168 0.500 0.001
4 Tb 0.334 0.000 0.499
5 Tb 0.334 0.000 0.834
6 Tb 0.499 0.500 0.332
7 Tb 0.501 0.500 0.668
8 Tb 0.666 0.000 0.166
9 Tb 0.666 0.000 0.501
10 Tb 0.832 0.500 0.999
11 Tb 0.833 0.500 0.333
12 Tb 0.999 0.000 0.834
13 Y 0.000 0.000 0.500
14 Tm 0.167 0.500 0.333
15 Tm 0.333 0.000 0.167
16 Tm 0.500 0.500 0.000
17 Tm 0.667 0.000 0.833
18 Tm 0.833 0.500 0.667

***

[6]
## TbYTm2 (PBE)

Data for a relaxed TbYTm2 crystal.

Output
The value obtained for the theoretical density is 7.85 g/cm³. The energy relative to the lowest polymorph listed for this composition comes out at 0.023 eV/atom. The value obtained for the energy of formation from the pure elements is 26.5 meV per atom.

Unit cell a=3.530 b=3.530 c=34.452 alpha=90.00 beta=90.00 gamma=120.00
Atoms (fractional coordinates):
1 Tb 0.000 0.000 0.000
2 Tb 0.333 0.667 0.667
3 Tb 0.667 0.333 0.333
4 Y 0.000 0.000 0.500
5 Y 0.333 0.667 0.167
6 Y 0.667 0.333 0.833
7 Tm 0.000 0.000 0.250
8 Tm 0.000 0.000 0.750
9 Tm 0.333 0.667 0.416
10 Tm 0.333 0.667 0.917
11 Tm 0.667 0.333 0.083
12 Tm 0.667 0.333 0.584